A plane-wave DFT calculation with GGA-PBE was carried out for a geometry-optimized SiP2Pb structure.

```
SiP2Pb
1.0
-1.882 -3.293 2.885
-2.345 1.334 3.929
-4.730 -0.529 0.247
P Pb Si
2 1 1
direct
0.750 0.750 0.750
0.250 0.250 0.250
0.500 0.500 0.500
0.000 0.000 0.000
```

Summary:
Magnetic moment   0.000 μB per cell
Formation energy from raw total energies   0.6677 eV per atom


A plane-wave DFT calculation with GGA-PBE was carried out for a geometry-optimized SiP2Pb structure.

```
SiP2Pb
1.0
5.441 -0.021 -0.006
1.388 5.262 0.006
-2.448 -3.880 2.926
P Pb Si
2 1 1
direct
0.934 0.934 0.000
0.566 0.566 0.000
0.250 0.750 0.500
0.750 0.250 0.500
```

Summary:
Magnetic moment   0.000 μB per cell
Formation energy from raw total energies   0.3604 eV per atom


A plane-wave DFT calculation with GGA-PBE was carried out for a geometry-optimized Si2PPb structure.

```
Si2PPb
1.0
-0.671 0.777 -3.512
2.156 -2.773 -1.025
-5.008 -3.926 0.089
P Si Pb
1 2 1
direct
0.000 0.000 0.347
0.000 0.000 0.997
0.500 0.500 0.350
0.500 0.500 0.806
```

Summary:
Magnetic moment   0.000 μB per cell
Formation energy from raw total energies   0.3831 eV per atom


Record-wise V values, in Å³ per cell: 77; 84; 85
Record-wise relative energy among the computed polymorphs values, in eV/atom: 0.677; 0.370; 0.138